Density functional theory data (GGA-PBE) for SrAuSe2 after structural relaxation.

Cell and atoms, written as CIF:
```
data_SrAuSe2
_chemical_formula_sum 'Sr1 Au1 Se2'
_cell_length_a 4.1941
_cell_length_b 4.1941
_cell_length_c 5.9576
_cell_angle_alpha 90.00
_cell_angle_beta 90.00
_cell_angle_gamma 90.00
_symmetry_space_group_name_H-M 'P 4 m m'
_symmetry_Int_Tables_number 99
loop_
_symmetry_equiv_pos_as_xyz
'x,y,z'
'-y,x,z'
'-x,-y,z'
'y,-x,z'
'-x,y,z'
'y,x,z'
'x,-y,z'
'-y,-x,z'
loop_
_atom_site_label
_atom_site_type_symbol
_atom_site_fract_x
_atom_site_fract_y
_atom_site_fract_z
Sr1 Sr 0.0000 0.0000 0.0000
Au1 Au 0.5000 0.5000 0.4978
Se1 Se 0.0000 0.0000 0.4988
Se2 Se 0.5000 0.5000 0.9907
```

- Polymorph energy (0 for the lowest one): 136.6 meV per atom
- Calculated total energy: -3.81 eV/atom
- Formation energy without anion corrections: -0.826 eV per atom
- D(E_F): 2.24 states/eV/cell